Computed, not measured: crystalline TaFe2Ir at its relaxed geometry at the GGA-PBE level of DFT.

Cell lengths 4.2513, 2.7161, 5.0474 Å; angles 78.75, 90.00, 90.00 degrees
Last column: nearest neighbours and their distance in Å.
Sites, in units of the cell vectors:
1 Fe 0.0000 0.9973 0.0026  4 Fe 2.59-2.72, 2 Ir 2.62, 2 Ta 2.63
2 Fe 0.0000 0.5027 0.4974  4 Fe 2.59-2.72, 2 Ir 2.62, 2 Ta 2.63
3 Ir 0.5000 0.2500 0.2500  2 Ta 2.62, 4 Fe 2.62, 2 Ir 2.72
4 Ta 0.5000 0.7500 0.7500  2 Ir 2.62, 4 Fe 2.63, 2 Ta 2.72

Results
energy of formation from the pure elements	-0.0535	eV per atom
theoretical density	14.1	g/cm³

Computed, not measured: crystalline Pr2AgCl at its relaxed geometry at the GGA-PBE level of DFT.

Cell lengths 3.6973, 3.6973, 9.4587 Å; angles 78.73, 78.73, 60.00 degrees
Last column: nearest neighbours and their distance in Å.
Sites, in units of the cell vectors:
1 Pr 0.0853 0.0853 0.7441  3 Cl 3.12, 3 Ag 3.19
2 Pr 0.2479 0.2479 0.2563  3 Cl 3.08, 3 Ag 3.17
3 Ag 0.6661 0.6661 0.0018  6 Pr 3.17-3.19
4 Cl 0.5007 0.5007 0.4978  6 Pr 3.08-3.12

Results
energy relative to the elements, uncorrected	-0.713	eV per atom
theoretical density	6.5	g/cm³

Computed, not measured: crystalline Na3Cd2Sn2 at its relaxed geometry at the GGA-PBE level of DFT.

Cell lengths 5.1443, 3.2890, 11.3778 Å; angles 98.31, 103.07, 90.00 degrees
Last column: nearest neighbours and their distance in Å.
Sites, in units of the cell vectors:
1 Na 0.0000 0.0000 0.0000  2 Na 3.29, 8 Sn 3.43, 4 Cd 3.57
2 Na 0.7047 0.2047 0.4093  6 Na 3.29-3.64, 5 Cd 3.31-3.32, 2 Sn 3.35
3 Na 0.2953 0.7953 0.5907  6 Na 3.29-3.64, 5 Cd 3.31-3.32, 2 Sn 3.35
4 Cd 0.1446 0.6446 0.2891  2 Sn 3.03, 2 Cd 3.29, 5 Na 3.31-3.32
5 Cd 0.8554 0.3554 0.7109  2 Sn 3.03, 2 Cd 3.29, 5 Na 3.31-3.32
6 Sn 0.5713 0.5713 0.1425  2 Cd 3.03, 3 Sn 3.12-3.29, 2 Na 3.35
7 Sn 0.4287 0.4287 0.8575  2 Cd 3.03, 3 Sn 3.12-3.29, 2 Na 3.35

Results
energy of formation from the pure elements	-0.1284	eV per atom
theoretical density	4.8	g/cm³

Computed, not measured: crystalline BeZnSn at its relaxed geometry at the GGA-PBE level of DFT.

Cell lengths 9.6229, 3.0006, 3.7291 Å; angles 90.00, 90.08, 90.43 degrees
Last column: nearest neighbours and their distance in Å.
Sites, in units of the cell vectors:
1 Be 0.5312 0.3354 0.3216  2 Be 2.34, 6 Zn 2.43-2.45
2 Be 0.3845 0.3304 0.8210  2 Be 2.34, 6 Zn 2.42-2.45
3 Zn 0.5827 0.8360 0.8219  6 Be 2.42-2.45
4 Zn 0.3326 0.8295 0.3208  6 Be 2.43-2.45
5 Sn 0.1129 0.8276 0.8196  2 Zn 2.82, 2 Sn 3.00, 2 Be 3.01-3.02
6 Sn 0.8019 0.8362 0.3224  2 Zn 2.82, 2 Be 3.00-3.01, 2 Sn 3.00

Results
energy of formation from the pure elements	0.1978	eV per atom
theoretical density	6.0	g/cm³